#A
VASP calculation (PBE-GGA) on a relaxed SrVP3 crystal.

Unit cell a=4.656 b=4.656 c=4.656 alpha=90.00 beta=90.00 gamma=90.00
Fractional coordinates of all 5 atoms:
P: 0.000 0.000 0.500
P: 0.000 0.500 0.000
P: 0.500 0.000 0.000
V: 0.000 0.000 0.000
Sr: 0.500 0.500 0.500

Calculated values
- magnetic moment (μB/atom) = 0.00

***

#B
VASP calculation (PBE-GGA) on a relaxed SrVP3 crystal.

Unit cell a=5.283 b=5.283 c=5.283 alpha=90.00 beta=90.00 gamma=90.00
Fractional coordinates of all 5 atoms:
V: 0.500 0.500 0.500
Sr: 0.000 0.000 0.000
P: 0.000 0.000 0.500
P: 0.000 0.500 0.000
P: 0.500 0.000 0.000

Calculated values
- magnetic moment (μB/atom) = 0.53

***

Relative energies, in eV/atom, with the most stable structure set to zero: #A 0.000; #B 2.049.

***

#A
VASP calculation (PBE-GGA) on a relaxed Sr2V2P crystal.

Unit cell a=8.947 b=8.947 c=3.601 alpha=90.00 beta=90.00 gamma=90.00
Fractional coordinates of all 10 atoms:
Sr: 0.288 0.788 0.000
Sr: 0.712 0.212 0.000
Sr: 0.212 0.288 0.000
Sr: 0.788 0.712 0.000
P: 0.500 0.500 0.000
P: 0.000 0.000 0.000
V: 0.928 0.428 0.500
V: 0.428 0.072 0.500
V: 0.072 0.572 0.500
V: 0.572 0.928 0.500

Calculated values
- magnetic moment (μB/atom) = 0.00

***

#B
VASP calculation (PBE-GGA) on a relaxed Sr2V2P crystal.

Unit cell a=3.477 b=3.477 c=10.303 alpha=80.29 beta=80.29 gamma=90.00
Fractional coordinates of all 5 atoms:
V: 0.250 0.750 0.500
V: 0.750 0.250 0.500
P: 0.000 0.000 0.000
Sr: 0.409 0.409 0.182
Sr: 0.591 0.591 0.818

Calculated values
- magnetic moment (μB/atom) = 0.00

***

Relative energies, in eV/atom, with the most stable structure set to zero: #A 0.588; #B 0.000.

***

#A
VASP calculation (PBE-GGA) on a relaxed SrVP2 crystal.

Unit cell a=4.759 b=4.759 c=4.759 alpha=60.00 beta=60.00 gamma=60.00
Fractional coordinates of all 4 atoms:
V: 0.000 0.000 0.000
P: 0.250 0.250 0.250
P: 0.750 0.750 0.750
Sr: 0.500 0.500 0.500

Calculated values
- magnetic moment (μB/atom) = 0.52

***

#B
VASP calculation (PBE-GGA) on a relaxed SrVP2 crystal.

Unit cell a=3.525 b=3.525 c=8.806 alpha=78.46 beta=78.46 gamma=60.00
Fractional coordinates of all 4 atoms:
P: 0.886 0.886 0.343
P: 0.114 0.114 0.657
Sr: 0.000 0.000 0.000
V: 0.500 0.500 0.500

Calculated values
- magnetic moment (μB/atom) = 0.15

***

#C
VASP calculation (PBE-GGA) on a relaxed SrVP2 crystal.

Unit cell a=6.940 b=6.940 c=6.342 alpha=56.83 beta=56.83 gamma=90.00
Fractional coordinates of all 8 atoms:
P: 0.211 0.625 0.250
P: 0.875 0.789 0.750
P: 0.375 0.461 0.750
P: 0.539 0.125 0.250
Sr: 0.000 0.000 0.000
Sr: 0.750 0.250 0.500
V: 0.250 0.750 0.500
V: 0.500 0.500 0.000

Calculated values
- magnetic moment (μB/atom) = 0.25

***

Relative energies, in eV/atom, with the most stable structure set to zero: #A 0.376; #B 0.500; #C 0.000.

***

#A
VASP calculation (PBE-GGA) on a relaxed SrYP crystal.

Unit cell a=7.115 b=7.115 c=7.115 alpha=150.05 beta=150.05 gamma=42.86
Fractional coordinates of all 3 atoms:
Y: 0.614 0.614 0.000
Sr: 0.363 0.363 0.000
P: 0.022 0.022 0.000

Calculated values
- magnetic moment (μB/atom) = 0.00

***

#B
VASP calculation (PBE-GGA) on a relaxed SrYP crystal.

Unit cell a=7.258 b=4.036 c=13.551 alpha=90.00 beta=98.05 gamma=90.00
Fractional coordinates of all 12 atoms:
P: 0.842 0.000 0.456
P: 0.075 0.500 0.712
P: 0.842 0.500 0.956
P: 0.075 0.000 0.212
Sr: 0.465 0.500 0.827
Sr: 0.230 0.000 0.580
Sr: 0.230 0.500 0.080
Sr: 0.465 0.000 0.327
Y: 0.751 0.000 0.080
Y: 0.950 0.000 0.827
Y: 0.751 0.500 0.580
Y: 0.950 0.500 0.327

Calculated values
- magnetic moment (μB/atom) = 0.08

***

Relative energies, in eV/atom, with the most stable structure set to zero: #A 0.151; #B 0.000.

***

#A
VASP calculation (PBE-GGA) on a relaxed SrYP crystal.

Unit cell a=4.036 b=12.525 c=7.056 alpha=90.00 beta=90.00 gamma=90.00
Fractional coordinates of all 12 atoms:
Sr: 0.500 0.777 0.055
Sr: 0.000 0.277 0.055
Sr: 0.000 0.723 0.555
Sr: 0.500 0.223 0.555
P: 0.500 0.076 0.057
P: 0.500 0.924 0.557
P: 0.000 0.576 0.057
P: 0.000 0.424 0.557
Y: 0.500 0.500 0.307
Y: 0.500 0.500 0.807
Y: 0.000 0.000 0.307
Y: 0.000 0.000 0.807

Calculated values
- magnetic moment (μB/atom) = 0.00

***

#B
VASP calculation (PBE-GGA) on a relaxed SrYP crystal.

Unit cell a=4.905 b=4.905 c=4.905 alpha=60.00 beta=60.00 gamma=60.00
Fractional coordinates of all 3 atoms:
Y: 0.500 0.500 0.500
P: 0.250 0.250 0.250
Sr: 0.000 0.000 0.000

Calculated values
- magnetic moment (μB/atom) = 0.00

***

#C
VASP calculation (PBE-GGA) on a relaxed SrYP crystal.

Unit cell a=4.120 b=4.120 c=6.874 alpha=90.00 beta=90.00 gamma=120.00
Fractional coordinates of all 3 atoms:
Sr: 0.667 0.333 0.255
Y: 0.333 0.667 0.773
P: 0.000 0.000 0.972

Calculated values
- magnetic moment (μB/atom) = 0.07

***

#D
VASP calculation (PBE-GGA) on a relaxed SrYP crystal.

Unit cell a=4.080 b=4.080 c=37.458 alpha=90.00 beta=90.00 gamma=120.00
Fractional coordinates of all 12 atoms:
Sr: 0.333 0.667 0.943
Sr: 0.667 0.333 0.057
Sr: 0.333 0.667 0.850
Sr: 0.667 0.333 0.150
P: 0.333 0.667 0.103
P: 0.333 0.667 0.710
P: 0.667 0.333 0.897
P: 0.667 0.333 0.290
Y: 0.333 0.667 0.245
Y: 0.667 0.333 0.668
Y: 0.667 0.333 0.755
Y: 0.333 0.667 0.332

Calculated values
- magnetic moment (μB/atom) = 0.38

***

Relative energies, in eV/atom, with the most stable structure set to zero: #A 0.000; #B 0.239; #C 0.034; #D 0.346.

***

#A
VASP calculation (PBE-GGA) on a relaxed Sr3YP crystal.

Unit cell a=5.953 b=5.953 c=5.953 alpha=90.00 beta=90.00 gamma=90.00
Fractional coordinates of all 5 atoms:
Sr: 0.500 0.000 0.000
Sr: 0.000 0.500 0.000
Sr: 0.000 0.000 0.500
Y: 0.500 0.500 0.500
P: 0.000 0.000 0.000

Calculated values
- magnetic moment (μB/atom) = 0.00

***

#B
VASP calculation (PBE-GGA) on a relaxed Sr3YP crystal.

Unit cell a=6.262 b=6.262 c=6.262 alpha=90.00 beta=90.00 gamma=90.00
Fractional coordinates of all 5 atoms:
Sr: 0.500 0.000 0.000
Sr: 0.000 0.000 0.500
Sr: 0.000 0.500 0.000
P: 0.500 0.500 0.500
Y: 0.000 0.000 0.000

Calculated values
- magnetic moment (μB/atom) = 0.79

***

Relative energies, in eV/atom, with the most stable structure set to zero: #A 0.000; #B 1.269.

***

#A
VASP calculation (PBE-GGA) on a relaxed SrY2P2 crystal.

Unit cell a=4.606 b=4.606 c=7.380 alpha=71.81 beta=71.81 gamma=90.00
Fractional coordinates of all 5 atoms:
P: 0.630 0.630 0.741
P: 0.370 0.370 0.259
Sr: 0.000 0.000 0.000
Y: 0.250 0.750 0.500
Y: 0.750 0.250 0.500

Calculated values
- magnetic moment (μB/atom) = 0.10

***

#B
VASP calculation (PBE-GGA) on a relaxed SrY2P2 crystal.

Unit cell a=5.220 b=5.220 c=6.632 alpha=66.82 beta=66.82 gamma=90.00
Fractional coordinates of all 5 atoms:
Y: 0.676 0.676 0.648
Y: 0.324 0.324 0.352
Sr: 0.000 0.000 0.000
P: 0.750 0.250 0.500
P: 0.250 0.750 0.500

Calculated values
- magnetic moment (μB/atom) = 0.00

***

Relative energies, in eV/atom, with the most stable structure set to zero: #A 0.020; #B 0.000.

***

#A
VASP calculation (PBE-GGA) on a relaxed Sr2Zn2P crystal.

Unit cell a=7.421 b=7.421 c=4.665 alpha=90.00 beta=90.00 gamma=90.00
Fractional coordinates of all 10 atoms:
Zn: 0.382 0.882 0.000
Zn: 0.618 0.118 0.000
Zn: 0.882 0.618 0.000
Zn: 0.118 0.382 0.000
P: 0.000 0.000 0.000
P: 0.500 0.500 0.000
Sr: 0.187 0.687 0.500
Sr: 0.313 0.187 0.500
Sr: 0.813 0.313 0.500
Sr: 0.687 0.813 0.500

Calculated values
- magnetic moment (μB/atom) = 0.00

***

#B
VASP calculation (PBE-GGA) on a relaxed Sr2Zn2P crystal.

Unit cell a=3.754 b=3.754 c=9.820 alpha=78.98 beta=78.98 gamma=90.00
Fractional coordinates of all 5 atoms:
Sr: 0.411 0.411 0.177
Sr: 0.589 0.589 0.823
P: 0.000 0.000 0.000
Zn: 0.250 0.750 0.500
Zn: 0.750 0.250 0.500

Calculated values
- magnetic moment (μB/atom) = 0.00

***

Relative energies, in eV/atom, with the most stable structure set to zero: #A 0.163; #B 0.000.

***

#A
VASP calculation (PBE-GGA) on a relaxed SrZrP3 crystal.

Unit cell a=5.054 b=5.054 c=5.054 alpha=90.00 beta=90.00 gamma=90.00
Fractional coordinates of all 5 atoms:
P: 0.500 0.000 0.000
P: 0.000 0.500 0.000
P: 0.000 0.000 0.500
Sr: 0.500 0.500 0.500
Zr: 0.000 0.000 0.000

Calculated values
- magnetic moment (μB/atom) = 0.00

***

#B
VASP calculation (PBE-GGA) on a relaxed SrZrP3 crystal.

Unit cell a=5.105 b=5.105 c=5.105 alpha=90.00 beta=90.00 gamma=90.00
Fractional coordinates of all 5 atoms:
P: 0.000 0.500 0.000
P: 0.000 0.000 0.500
P: 0.500 0.000 0.000
Zr: 0.500 0.500 0.500
Sr: 0.000 0.000 0.000

Calculated values
- magnetic moment (μB/atom) = 0.02

***

Relative energies, in eV/atom, with the most stable structure set to zero: #A 0.000; #B 1.695.

***

#A
VASP calculation (PBE-GGA) on a relaxed SrZrP crystal.

Unit cell a=3.904 b=3.904 c=6.440 alpha=90.00 beta=90.00 gamma=120.00
Fractional coordinates of all 3 atoms:
Zr: 0.667 0.333 0.768
P: 0.000 0.000 0.958
Sr: 0.333 0.667 0.274

Calculated values
- magnetic moment (μB/atom) = 0.00

***

#B
VASP calculation (PBE-GGA) on a relaxed SrZrP crystal.

Unit cell a=6.572 b=6.572 c=6.572 alpha=147.64 beta=147.64 gamma=46.41
Fractional coordinates of all 3 atoms:
Zr: 0.394 0.394 0.000
P: 0.934 0.934 0.000
Sr: 0.672 0.672 0.000

Calculated values
- magnetic moment (μB/atom) = 0.00

***

Relative energies, in eV/atom, with the most stable structure set to zero: #A 0.000; #B 0.051.

***

#A
VASP calculation (PBE-GGA) on a relaxed SrZrP crystal.

Unit cell a=4.456 b=4.456 c=4.893 alpha=90.00 beta=90.00 gamma=120.00
Fractional coordinates of all 3 atoms:
P: 0.000 0.000 0.833
Zr: 0.333 0.667 0.833
Sr: 0.667 0.333 0.334

Calculated values
- magnetic moment (μB/atom) = 0.14

***

#B
VASP calculation (PBE-GGA) on a relaxed SrZrP crystal.

Unit cell a=5.003 b=5.003 c=5.003 alpha=60.00 beta=60.00 gamma=60.00
Fractional coordinates of all 3 atoms:
Sr: 0.750 0.750 0.750
Zr: 0.000 0.000 0.000
P: 0.500 0.500 0.500

Calculated values
- magnetic moment (μB/atom) = 1.00

***

Relative energies, in eV/atom, with the most stable structure set to zero: #A 0.000; #B 1.317.

***

#A
VASP calculation (PBE-GGA) on a relaxed SrZrP2 crystal.

Unit cell a=3.390 b=3.390 c=7.268 alpha=90.00 beta=90.00 gamma=90.04
Fractional coordinates of all 4 atoms:
Zr: 0.500 0.500 0.750
P: 0.000 0.000 0.542
P: 0.000 0.000 0.958
Sr: 0.500 0.500 0.250

Calculated values
- magnetic moment (μB/atom) = 0.00

***

#B
VASP calculation (PBE-GGA) on a relaxed SrZrP2 crystal.

Unit cell a=7.149 b=5.178 c=3.318 alpha=79.66 beta=78.23 gamma=128.67
Fractional coordinates of all 4 atoms:
Zr: 0.500 0.500 0.000
P: 0.000 0.000 0.000
P: 0.500 0.000 0.500
Sr: 0.000 0.500 0.500

Calculated values
- magnetic moment (μB/atom) = 0.00

***

Relative energies, in eV/atom, with the most stable structure set to zero: #A 0.000; #B 0.234.